Entry from OQMD: CsTmTeS after structural relaxation (PBE-GGA).

Calculated values
Energy   -18.82 eV/f.u.
Crystal system   hexagonal

abc: 4.2517 4.2517 17.0049
angles: 90.00 90.00 120.00
With the nearest neighbours (Å) after each atom.
Space group P-6m2 (No. 187)
Asymmetric unit:
Cs: 0.0000 0.0000 0.0000 x1  6 S 3.53
Cs: 0.3333 0.6667 0.5000 x1  6 Te 3.74
Tm: 0.6667 0.3333 0.2281 x2  3 S 2.79, 3 Te 3.05
Te: 0.0000 0.0000 0.3342 x2  3 Tm 3.05
S: 0.3333 0.6667 0.1496 x2  3 Tm 2.79